(1)
{"formula": "Tb2Hg3Rh", "functional": "GGA-PBE", "state": "optimized geometry", "dos_ef_per_ev_fu": 5.0, "magnetic_moment_mub_per_cell": 0.0, "delta_e_f_ev_per_atom": -0.46, "lattice_angstrom": [[-1.512, -0.559, 3.044], [-3.067, -3.146, -2.101], [5.387, -6.269, 1.525]], "species": ["Tb", "Tb", "Hg", "Hg", "Hg", "Rh"], "frac_coords": [[0.000, 0.500, 0.050], [0.000, 0.000, 0.473], [0.500, 0.000, 0.829], [0.500, 0.500, 0.655], [0.500, 0.000, 0.166], [0.500, 0.500, 0.326]]}

(2)
{"formula": "Tb8Hg2Rh", "functional": "GGA-PBE", "state": "optimized geometry", "dos_ef_per_ev_fu": 8.3, "magnetic_moment_mub_per_cell": 0.0, "delta_e_f_ev_per_atom": -0.32, "lattice_angstrom": [[-4.973, -0.221, 1.601], [1.314, -5.870, 3.271], [4.120, 6.484, 5.155]], "species": ["Tb", "Tb", "Tb", "Tb", "Tb", "Tb", "Tb", "Tb", "Rh", "Hg", "Hg"], "frac_coords": [[0.653, 0.960, 0.305], [0.976, 0.220, 0.952], [0.347, 0.040, 0.695], [0.588, 0.433, 0.176], [0.800, 0.692, 0.599], [0.200, 0.308, 0.401], [0.412, 0.567, 0.824], [0.024, 0.780, 0.048], [0.500, 0.000, 0.000], [0.189, 0.732, 0.379], [0.811, 0.268, 0.621]]}

(3)
{"formula": "Tb6HgRh3", "functional": "GGA-PBE", "state": "optimized geometry", "dos_ef_per_ev_fu": 5.2, "magnetic_moment_mub_per_cell": 0.0, "delta_e_f_ev_per_atom": -0.61, "e_above_lowest_polymorph_ev_per_atom": 0.0000, "lattice_angstrom": [[-1.873, -2.821, -2.338], [10.213, -5.536, -1.500], [-5.307, -4.375, 9.529]], "species": ["Rh", "Rh", "Rh", "Rh", "Rh", "Rh", "Tb", "Tb", "Tb", "Tb", "Tb", "Tb", "Tb", "Tb", "Tb", "Tb", "Tb", "Tb", "Hg", "Hg"], "frac_coords": [[0.750, 0.159, 0.058], [0.250, 0.529, 0.170], [0.250, 0.309, 0.481], [0.250, 0.841, 0.942], [0.750, 0.471, 0.830], [0.750, 0.691, 0.519], [0.250, 0.614, 0.968], [0.250, 0.539, 0.405], [0.250, 0.242, 0.218], [0.250, 0.862, 0.553], [0.750, 0.758, 0.782], [0.750, 0.386, 0.032], [0.250, 0.057, 0.896], [0.750, 0.701, 0.268], [0.750, 0.943, 0.104], [0.750, 0.461, 0.595], [0.750, 0.138, 0.447], [0.250, 0.299, 0.732], [0.750, 0.072, 0.694], [0.250, 0.928, 0.306]]}

(4)
{"formula": "Tb8HgRh2", "functional": "GGA-PBE", "state": "optimized geometry", "dos_ef_per_ev_fu": 12.6, "magnetic_moment_mub_per_cell": 0.0, "delta_e_f_ev_per_atom": -0.35, "lattice_angstrom": [[-1.354, 0.233, 5.353], [-5.935, -4.683, -2.434], [7.004, -3.658, 0.794]], "species": ["Rh", "Rh", "Tb", "Tb", "Tb", "Tb", "Tb", "Tb", "Tb", "Tb", "Hg"], "frac_coords": [[0.500, 0.703, 0.303], [0.500, 0.303, 0.703], [0.000, 0.761, 0.246], [0.000, 0.246, 0.761], [0.808, 0.616, 0.616], [0.575, 0.081, 0.335], [0.192, 0.390, 0.390], [0.575, 0.335, 0.081], [0.425, 0.926, 0.672], [0.425, 0.672, 0.926], [0.001, 0.003, 0.003]]}

(5)
{"formula": "Tb5HgRh4", "functional": "GGA-PBE", "state": "optimized geometry", "dos_ef_per_ev_fu": 6.3, "magnetic_moment_mub_per_cell": 0.0, "delta_e_f_ev_per_atom": -0.78, "lattice_angstrom": [[-2.419, 2.509, -0.067], [-1.620, -1.633, -2.620], [-9.749, -9.088, 11.693]], "species": ["Tb", "Tb", "Tb", "Tb", "Tb", "Hg", "Rh", "Rh", "Rh", "Rh"], "frac_coords": [[0.500, 0.500, 0.691], [0.500, 0.500, 0.119], [0.500, 0.500, 0.881], [0.500, 0.500, 0.309], [0.500, 0.500, 0.500], [0.000, 0.000, 0.000], [0.000, 0.000, 0.789], [0.000, 0.000, 0.596], [0.000, 0.000, 0.211], [0.000, 0.000, 0.404]]}

(6)
{"formula": "Tb6HgRh", "functional": "GGA-PBE", "state": "optimized geometry", "dos_ef_per_ev_fu": 11.5, "magnetic_moment_mub_per_cell": 0.0, "delta_e_f_ev_per_atom": -0.14, "lattice_angstrom": [[6.882, 0.012, -0.012], [3.437, 5.996, 0.000], [3.413, 1.990, 6.302]], "species": ["Tb", "Tb", "Tb", "Tb", "Tb", "Tb", "Hg", "Rh"], "frac_coords": [[0.047, 0.419, 0.754], [0.419, 0.781, 0.753], [0.581, 0.219, 0.247], [0.953, 0.581, 0.246], [0.779, 0.045, 0.753], [0.221, 0.955, 0.247], [0.500, 0.500, 0.500], [0.000, 0.000, 0.000]]}

(7)
{"formula": "Tb3Hg2Rh2", "functional": "GGA-PBE", "state": "optimized geometry", "dos_ef_per_ev_fu": 4.3, "magnetic_moment_mub_per_cell": 0.0, "delta_e_f_ev_per_atom": -0.61, "lattice_angstrom": [[3.831, 0.000, 0.508], [0.000, 3.767, 0.000], [0.440, 0.000, 11.377]], "species": ["Rh", "Rh", "Hg", "Hg", "Tb", "Tb", "Tb"], "frac_coords": [[0.709, 0.500, 0.582], [0.291, 0.500, 0.418], [0.418, 0.500, 0.164], [0.582, 0.500, 0.836], [0.826, 0.000, 0.348], [0.000, 0.000, 0.000], [0.174, 0.000, 0.652]]}

(8)
{"formula": "Tb4HgRh3", "functional": "GGA-PBE", "state": "optimized geometry", "dos_ef_per_ev_fu": 6.6, "magnetic_moment_mub_per_cell": 0.0, "delta_e_f_ev_per_atom": -0.71, "lattice_angstrom": [[-3.665, -2.918, -1.533], [2.861, -5.483, 3.594], [-5.284, 2.457, 7.955]], "species": ["Tb", "Tb", "Tb", "Tb", "Tb", "Tb", "Tb", "Tb", "Rh", "Rh", "Rh", "Rh", "Rh", "Rh", "Hg", "Hg"], "frac_coords": [[0.000, 0.238, 0.250], [0.500, 0.238, 0.000], [0.500, 0.762, 0.500], [0.000, 0.762, 0.750], [0.000, 0.238, 0.750], [0.000, 0.762, 0.250], [0.500, 0.762, 0.000], [0.500, 0.238, 0.500], [0.500, 0.500, 0.750], [0.000, 0.000, 0.000], [0.500, 0.000, 0.750], [0.500, 0.500, 0.250], [0.000, 0.000, 0.500], [0.500, 0.000, 0.250], [0.000, 0.500, 0.500], [0.000, 0.500, 0.000]]}